First-principles (PBE) data for ZnTeP2 after structural relaxation, as listed in Alexandria.

a = 4.7093 Å, b = 4.7093 Å, c = 4.7093 Å
α = 60.00°, β = 60.00°, γ = 60.00°
Last column: nearest neighbours and their distance in Å.
Fractional positions:
Zn 0.7500 0.7500 0.7500  4 Te 2.88, 4 P 2.88
P 0.0000 0.0000 0.0000  4 Zn 2.88, 4 P 2.88
Te 0.5000 0.5000 0.5000  4 P 2.88, 4 Zn 2.88
P 0.2500 0.2500 0.2500  4 P 2.88, 4 Te 2.88

## Properties
Energy above the lowest structure with this stoichiometry in eV per formula unit: 2.21
Formation energy without anion corrections in eV/atom: 0.61
E in eV per atom: -3.20
Density of states at the Fermi level in states/eV per cell: 1.8